# 1
The following is a PBE-GGA calculation of a relaxed structure of Ce3Ga6Pt5, from Alexandria.

Lattice parameters (Å, degrees): 4.3296 12.9605 9.3924 90.00 90.00 90.00
Space group Pmmn (No. 59, origin choice 2)
Inequivalent atoms, fractional coordinates:
1 Ce 0.2500 0.0513 0.2482
2 Ce 0.2500 0.7500 0.2512
3 Ga 0.2500 0.0718 0.5933
4 Ga 0.2500 0.2500 0.0414
5 Ga 0.2500 0.2500 0.4233
6 Ga 0.2500 0.5967 0.9786
7 Pt 0.2500 0.0942 0.8680
8 Pt 0.2500 0.6332 0.5350
9 Pt 0.2500 0.7500 0.7944

Values from the calculation:
Its raw total energy is -5.652 eV per atom. For the size of the total moment, the calculation gives 2.41 Bohr magnetons per cell.

***

# 2
The following is a PBE-GGA calculation of a relaxed structure of Ce2Ga5Pt5, from Alexandria.

Lattice parameters (Å, degrees): 4.2911 5.4171 9.5021 90.00 90.00 90.00
Space group Pmmm (No. 47)
Inequivalent atoms, fractional coordinates:
1 Ce 0.0000 0.0000 0.0000
2 Ce 0.0000 0.5000 0.5000
3 Ga 0.5000 0.0000 0.5000
4 Ga 0.5000 0.2409 0.2317
5 Pt 0.0000 0.0000 0.3406
6 Pt 0.0000 0.5000 0.1899
7 Pt 0.5000 0.5000 0.0000

Values from the calculation:
Its raw total energy is -5.588 eV per atom. For the size of the total moment, the calculation gives 1.24 Bohr magnetons per cell.

***

# 3
The following is a PBE-GGA calculation of a relaxed structure of CeGa3Pt3, from Alexandria.

Lattice parameters (Å, degrees): 6.8823 6.8823 19.0238 90.00 90.00 120.00
Space group R-3 (No. 148, hexagonal axes)
Inequivalent atoms, fractional coordinates:
1 Ce 0.0000 0.0000 0.1609
2 Ga 0.0256 0.6096 0.3756
3 Pt 0.0101 0.7630 0.5738

Values from the calculation:
Its raw total energy is -5.469 eV per atom. For the size of the total moment, the calculation gives 3.50 Bohr magnetons per cell. Its offset from the most stable computed form is 0.000 eV/atom.

***

# 4
The following is a PBE-GGA calculation of a relaxed structure of CeGa2Pt3, from Alexandria.

Lattice parameters (Å, degrees): 16.8540 4.0777 10.0138 90.00 106.05 90.00
Space group C2/m (No. 12)
Inequivalent atoms, fractional coordinates:
1 Ce 0.0000 0.0000 0.0000
2 Ce 0.1652 0.0000 0.7070
3 Ga 0.0389 0.5000 0.7731
4 Ga 0.1385 0.5000 0.4525
5 Ga 0.1939 0.0000 0.1228
6 Pt 0.0000 0.5000 0.5000
7 Pt 0.0435 0.0000 0.3337
8 Pt 0.1126 0.5000 0.1876
9 Pt 0.1745 0.5000 0.9514
10 Pt 0.2202 0.0000 0.3884

Values from the calculation:
Its raw total energy is -5.906 eV per atom. For the size of the total moment, the calculation gives 2.96 Bohr magnetons per cell.

***

# 5
The following is a PBE-GGA calculation of a relaxed structure of CeGa2Pt, from Alexandria.

Lattice parameters (Å, degrees): 4.2850 4.2850 15.2981 90.00 90.00 120.00
Space group R-3m (No. 166, hexagonal axes)
Inequivalent atoms, fractional coordinates:
1 Ce 0.0000 0.0000 0.0000
2 Ga 0.0000 0.0000 0.2175
3 Pt 0.0000 0.0000 0.5000

Values from the calculation:
Its raw total energy is -5.296 eV per atom. For the size of the total moment, the calculation gives 1.75 Bohr magnetons per cell.

***

# 6
The following is a PBE-GGA calculation of a relaxed structure of Ce2Ga3Pt2, from Alexandria.

Lattice parameters (Å, degrees): 4.2003 18.7338 7.2237 90.00 90.00 90.00
Space group Cmcm (No. 63)
Inequivalent atoms, fractional coordinates:
1 Ce 0.0000 0.0608 0.2500
2 Ce 0.0000 0.1587 0.7500
3 Ga 0.0000 0.2242 0.2500
4 Ga 0.0000 0.4414 0.0757
5 Pt 0.0000 0.3108 0.5460

Values from the calculation:
Its raw total energy is -5.551 eV per atom. For the size of the total moment, the calculation gives 2.89 Bohr magnetons per cell. Its offset from the most stable computed form is 0.024 eV/atom.

***

# 7
The following is a PBE-GGA calculation of a relaxed structure of Ce3Ga9Pt2, from Alexandria.

Lattice parameters (Å, degrees): 4.3176 10.0519 12.4528 90.00 90.00 90.00
Space group Immm (No. 71)
Inequivalent atoms, fractional coordinates:
1 Ce 0.0000 0.0000 0.0000
2 Ce 0.0000 0.0000 0.3226
3 Ga 0.0000 0.2755 0.1296
4 Ga 0.0000 0.3730 0.3317
5 Ga 0.0000 0.5000 0.0000
6 Pt 0.0000 0.2221 0.5000

Values from the calculation:
Its raw total energy is -4.742 eV per atom. For the size of the total moment, the calculation gives 3.46 Bohr magnetons per cell.

***

# 8
The following is a PBE-GGA calculation of a relaxed structure of Ce3Ga2Pt7, from Alexandria.

Lattice parameters (Å, degrees): 4.0833 4.0833 28.3154 90.00 90.00 90.00
Space group I4/mmm (No. 139)
Inequivalent atoms, fractional coordinates:
1 Ce 0.0000 0.0000 0.0000
2 Ce 0.0000 0.0000 0.1777
3 Ga 0.0000 0.0000 0.3715
4 Pt 0.0000 0.0000 0.2829
5 Pt 0.0000 0.0000 0.5000
6 Pt 0.0000 0.5000 0.0764

Values from the calculation:
Its raw total energy is -6.408 eV per atom. For the size of the total moment, the calculation gives 3.45 Bohr magnetons per cell.

***

# 9
The following is a PBE-GGA calculation of a relaxed structure of Ce8Ga2Pt, from Alexandria.

Lattice parameters (Å, degrees): 17.0280 5.0150 6.7169 90.00 109.60 90.00
Space group C2/m (No. 12)
Inequivalent atoms, fractional coordinates:
1 Ce 0.0051 0.0000 0.3057
2 Ce 0.1091 0.5000 0.4249
3 Ce 0.1518 0.5000 0.8888
4 Ce 0.1962 0.0000 0.1765
5 Ga 0.1931 0.0000 0.6693
6 Pt 0.0000 0.5000 0.0000

Values from the calculation:
Its raw total energy is -5.778 eV per atom. For the size of the total moment, the calculation gives 5.06 Bohr magnetons per cell.

***

# 10
The following is a PBE-GGA calculation of a relaxed structure of Ce2Ga3Pt, from Alexandria.

Lattice parameters (Å, degrees): 7.5206 8.8809 15.4105 90.00 90.00 90.00
Space group Fmmm (No. 69)
Inequivalent atoms, fractional coordinates:
1 Ce 0.2351 0.0000 0.0000
2 Ce 0.2500 0.2500 0.2500
3 Ga 0.0000 0.0000 0.3352
4 Ga 0.0000 0.2474 0.4167
5 Pt 0.0000 0.0000 0.1684

Values from the calculation:
Its raw total energy is -5.273 eV per atom. For the size of the total moment, the calculation gives 8.65 Bohr magnetons per cell. Its offset from the most stable computed form is 0.000 eV/atom.

***

# 11
The following is a PBE-GGA calculation of a relaxed structure of Ce3Ga7Pt2, from Alexandria.

Lattice parameters (Å, degrees): 5.2667 4.2940 10.9525 90.00 97.62 90.00
Space group P2/m (No. 10)
Inequivalent atoms, fractional coordinates:
1 Ce 0.0000 0.0000 0.0000
2 Ce 0.1045 0.0000 0.3857
3 Ga 0.2844 0.5000 0.2076
4 Ga 0.3473 0.5000 0.5851
5 Ga 0.4440 0.0000 0.8032
6 Ga 0.5000 0.5000 0.0000
7 Pt 0.1818 0.5000 0.8040

Values from the calculation:
Its raw total energy is -4.875 eV per atom. For the size of the total moment, the calculation gives 1.64 Bohr magnetons per cell.

***

# 12
The following is a PBE-GGA calculation of a relaxed structure of Ce2Ga7Pt, from Alexandria.

Lattice parameters (Å, degrees): 4.3455 4.3455 10.4308 90.00 90.00 90.00
Space group P-4m2 (No. 115)
Inequivalent atoms, fractional coordinates:
1 Ce 0.0000 0.5000 0.2430
2 Ga 0.0000 0.0000 0.0000
3 Ga 0.0000 0.0000 0.5000
4 Ga 0.0000 0.5000 0.6367
5 Ga 0.0000 0.5000 0.8712
6 Ga 0.5000 0.5000 0.5000
7 Pt 0.5000 0.5000 0.0000

Values from the calculation:
Its raw total energy is -4.465 eV per atom. For the size of the total moment, the calculation gives 1.58 Bohr magnetons per cell.

***

# 13
The following is a PBE-GGA calculation of a relaxed structure of Ce2Ga7Pt12, from Alexandria.

Lattice parameters (Å, degrees): 10.0831 10.0831 4.1132 90.00 90.00 120.00
Space group P-6 (No. 174)
Inequivalent atoms, fractional coordinates:
1 Ce 0.0000 0.0000 0.0000
2 Ce 0.3333 0.6667 0.5000
3 Ga 0.0408 0.4639 0.0000
4 Ga 0.2686 0.2525 0.5000
5 Ga 0.6667 0.3333 0.0000
6 Pt 0.0230 0.2586 0.5000
7 Pt 0.1499 0.7494 0.0000
8 Pt 0.3815 0.1936 0.0000
9 Pt 0.5625 0.4301 0.5000

Values from the calculation:
Its raw total energy is -5.783 eV per atom. For the size of the total moment, the calculation gives 1.19 Bohr magnetons per cell.

***

# 14
The following is a PBE-GGA calculation of a relaxed structure of CeGa12Pt6, from Alexandria.

Lattice parameters (Å, degrees): 11.4596 11.4596 8.8114 90.00 90.00 120.00
Space group R-3m (No. 166, hexagonal axes)
Inequivalent atoms, fractional coordinates:
1 Ce 0.0000 0.0000 0.0000
2 Ga 0.0000 0.3887 0.5000
3 Ga 0.0838 0.1677 0.3119
4 Pt 0.0462 0.5231 0.2393

Values from the calculation:
Its raw total energy is -4.705 eV per atom. For the size of the total moment, the calculation gives 3.65 Bohr magnetons per cell.

***

# 15
The following is a PBE-GGA calculation of a relaxed structure of CeGa4Pt2, from Alexandria.

Lattice parameters (Å, degrees): 17.3082 4.3926 6.6394 90.00 90.00 90.00
Space group Pnma (No. 62)
Inequivalent atoms, fractional coordinates:
1 Ce 0.1394 0.2500 0.0102
2 Ga 0.0372 0.7500 0.8378
3 Ga 0.0697 0.2500 0.4845
4 Ga 0.1834 0.7500 0.3189
5 Ga 0.1890 0.7500 0.7229
6 Pt 0.0356 0.7500 0.2437
7 Pt 0.2163 0.2500 0.5248

Values from the calculation:
Its raw total energy is -5.121 eV per atom. For the size of the total moment, the calculation gives 0.60 Bohr magnetons per cell. Its offset from the most stable computed form is 0.000 eV/atom.

***

# 16
The following is a PBE-GGA calculation of a relaxed structure of Ce12Ga6Pt, from Alexandria.

Lattice parameters (Å, degrees): 10.5978 10.5978 13.6916 90.00 90.00 120.00
Space group R-3 (No. 148, hexagonal axes)
Inequivalent atoms, fractional coordinates:
1 Ce 0.0525 0.1796 0.3034
2 Ce 0.0703 0.8450 0.9342
3 Ga 0.0504 0.4496 0.1963
4 Pt 0.0000 0.0000 0.5000

Values from the calculation:
Its raw total energy is -5.351 eV per atom. For the size of the total moment, the calculation gives 16.35 Bohr magnetons per cell.

***

# 17
The following is a PBE-GGA calculation of a relaxed structure of Ce4Ga12Pt, from Alexandria.

Lattice parameters (Å, degrees): 8.7310 8.7310 8.7310 90.00 90.00 90.00
Space group Im-3m (No. 229)
Inequivalent atoms, fractional coordinates:
1 Ce 0.2500 0.2500 0.2500
2 Ga 0.0000 0.0000 0.2983
3 Ga 0.0000 0.2500 0.5000
4 Pt 0.0000 0.0000 0.0000

Values from the calculation:
Its raw total energy is -4.517 eV per atom. For the size of the total moment, the calculation gives 0.26 Bohr magnetons per cell.

***

# 18
The following is a PBE-GGA calculation of a relaxed structure of Ce3Ga8Pt3, from Alexandria.

Lattice parameters (Å, degrees): 4.3204 9.8439 12.5281 90.00 90.00 90.00
Space group Immm (No. 71)
Inequivalent atoms, fractional coordinates:
1 Ce 0.0000 0.0000 0.0000
2 Ce 0.0000 0.0000 0.3168
3 Ga 0.0000 0.2802 0.1298
4 Ga 0.0000 0.3704 0.3343
5 Pt 0.0000 0.2126 0.5000
6 Pt 0.0000 0.5000 0.0000

Values from the calculation:
Its raw total energy is -5.015 eV per atom. For the size of the total moment, the calculation gives 3.95 Bohr magnetons per cell. Its offset from the most stable computed form is 0.046 eV/atom.